Material: Pm6GaRu2I3
Method: DFT, PBE
State: relaxed

Structure (POSCAR):
```
Pm6GaRu2I3
1.0
3.6434 -6.3199 0.0000
3.6434 6.3199 0.0000
-2.4464 0.0000 8.0550
Pm Ga Ru I
6 1 2 3
Direct
0.0826 0.4376 0.8112
0.2088 0.2088 0.1887
0.4376 0.0826 0.8112
0.5624 0.9174 0.1888
0.7912 0.7912 0.8113
0.9174 0.5624 0.1888
0.5000 0.5000 0.0000
0.1665 0.8335 0.0000
0.8335 0.1665 0.0000
0.0000 0.0000 0.5000
0.3361 0.6639 0.5000
0.6639 0.3361 0.5000
```

Values from the calculation:
- Total energy: -5.258 eV/atom
- Fermi-level density of states: 0.67 states/eV/atom
- Volume: 371 Å³ per cell
- Uncorrected formation energy: -697 meV/atom
- Total magnetic moment: 0.00 μB/f.u.

---

Material: Pt2C
Method: DFT, PBE
State: relaxed

Structure (POSCAR):
```
Pt2C
1.0
2.9775 0.0000 0.0000
-1.4888 2.5786 0.0000
0.0000 0.0000 5.2890
Pt C
2 1
Direct
0.0000 0.0000 0.2492
0.0000 0.0000 0.7508
0.3333 0.6667 0.0000
```

Values from the calculation:
- Total energy: -6.422 eV/atom
- Fermi-level density of states: 0.12 states/eV/atom
- DFT formation energy: 680 meV/atom
- Volume: 41 Å³ per cell
- Total magnetic moment: 0.00 μB/f.u.

---

Material: TmSn2Sb
Method: DFT, PBE
State: relaxed

Structure (POSCAR):
```
TmSn2Sb
1.0
4.5201 0.0000 0.0000
0.0000 4.5201 0.0000
0.0000 0.0000 5.1548
Tm Sn Sb
1 2 1
Direct
0.0000 0.0000 0.0000
0.0000 0.5000 0.5000
0.5000 0.0000 0.5000
0.5000 0.5000 0.0000
```

Values from the calculation:
- Total energy: -4.503 eV/atom
- Fermi-level density of states: 0.64 states/eV/atom
- Volume: 105 Å³ per cell
- Uncorrected formation energy: -353 meV/atom
- Total magnetic moment: 0.00 μB/f.u.

---

Material: Th5Sb2C2
Method: DFT, PBE
State: relaxed

Structure (POSCAR):
```
Th5Sb2C2
1.0
-9.2377 4.0585 3.3233
9.2377 -4.0585 3.3233
9.2377 4.0585 -3.3233
Th Sb C
10 4 4
Direct
0.1592 0.0621 0.5971
0.2484 0.0240 0.2723
0.2484 0.4760 0.7244
0.4649 0.5621 0.4029
0.6923 0.1117 0.3042
0.6923 0.8880 0.0806
0.7516 0.5240 0.2756
0.7516 0.9760 0.7277
0.8074 0.3880 0.6958
0.8074 0.6117 0.9194
0.1980 0.3585 0.0532
0.1980 0.6447 0.3395
0.3053 0.1447 0.9468
0.3053 0.8585 0.6605
0.5886 0.4140 0.6746
0.7394 0.9140 0.3254
0.7475 0.2475 0.5000
0.7475 0.7475 0.0000
```

Values from the calculation:
- Total energy: -7.528 eV/atom
- Fermi-level density of states: 0.73 states/eV/atom
- Volume: 498 Å³ per cell
- Uncorrected formation energy: -440 meV/atom
- Total magnetic moment: 0.00 μB/f.u.